## ZrCoS2N (meta-GGA SCAN)

Data for ZrCoS2N at its PBEsol-relaxed geometry.

Cell lengths 4.537, 4.537, 3.398 Å; angles 90.00, 90.00, 90.00 degrees
Positions (direct):
Zr 0.000 0.000 0.000
Co 0.500 0.500 0.500
S 0.000 0.500 0.500
S 0.500 0.000 0.500
N 0.500 0.500 0.000

Properties
Magnetization in μB per formula unit: 0.8
ΔE_f (raw) in eV/atom: -0.274